Here is a relaxed Ti3NbNi crystal from Alexandria. Energies are from PBE-GGA.

Properties
Offset from the most stable computed form   0.0 meV per atom
Volume   91.32 Å³ per cell
Spin magnetization   0.009 μB per cell
Energy of formation   44.48 kJ/mol of atoms

Structure (extended XYZ):
```
5
Lattice="-1.0506 -1.3627 4.1616 1.8544 -4.0154 -0.8468 3.9670 1.5161 1.4980" Properties=species:S:1:pos:R:3 pbc="T T T"
Ti 1.9835 0.7581 0.7490
Ti -0.5253 -0.6814 2.0808
Ti 0.9272 -2.0077 -0.4234
Nb 2.3854 -1.9310 2.4064
Ni 0.0000 0.0000 0.0000
```

***

Here is a relaxed Sr2GeAu5 crystal from Alexandria. Energies are from PBE-GGA.

Properties
Volume   210.58 Å³ per cell
Spin magnetization   0.000 μB per cell
Energy of formation   -49.95 kJ/mol of atoms

Structure (extended XYZ):
```
8
Lattice="6.5209 -0.0001 -0.0005 0.0001 6.5161 -0.0002 -3.2606 -3.2580 4.9563" Properties=species:S:1:pos:R:3 pbc="T T T"
Sr 0.0002 3.2580 2.7517
Sr 3.2605 0.0004 2.7569
Au 4.8102 1.7064 0.2255
Au 1.7108 1.7058 0.2258
Au 1.7113 4.8102 0.2257
Au 3.2604 3.2579 1.8882
Au 4.8098 4.8096 0.2254
Ge 3.2601 3.2578 4.3559
```

***

Here is a relaxed LiNiHgPt crystal from Alexandria. Energies are from PBE-GGA.

Properties
Volume   58.63 Å³ per cell
Spin magnetization   0.001 μB per cell
Energy of formation   -17.30 kJ/mol of atoms

Structure (extended XYZ):
```
4
Lattice="-3.6486 -2.3538 0.4024 -1.2743 -1.3918 3.9311 -3.5205 1.7418 1.8940" Properties=species:S:1:pos:R:3 pbc="T T T"
Li -2.1109 -0.5009 1.5569
Hg 0.0000 0.0000 0.0000
Ni -6.3326 -1.5028 4.6706
Pt -4.2217 -1.0019 3.1138
```